# 1
# CaPr5Sb6

An optimized crystal structure of CaPr5Sb6 (PBE, Alexandria).

POSCAR file:
```
CaPr5Sb6
1.0
3.948 -6.844 0.000
3.948 6.844 0.000
-2.636 0.000 7.441
Ca Pr Sb
1 5 6
Direct
0.000 0.000 0.000 Ca
0.166 0.834 0.500 Pr
0.333 0.667 0.000 Pr
0.500 0.500 0.500 Pr
0.667 0.333 0.000 Pr
0.834 0.166 0.500 Pr
0.083 0.418 0.250 Sb
0.251 0.251 0.749 Sb
0.418 0.083 0.250 Sb
0.582 0.917 0.750 Sb
0.749 0.749 0.251 Sb
0.917 0.582 0.750 Sb
```

Properties
The value obtained for the density is 6.1 g cm⁻³. The value obtained for the magnetization is 0.000 μB per atom. For the energy relative to the elements, uncorrected, the calculation gives -107.6 kJ per mole of atoms.



# 2
# IrPdW

An optimized crystal structure of IrPdW (PBE, Alexandria).

POSCAR file:
```
IrPdW
1.0
1.953 -5.971 0.000
1.953 5.971 0.000
0.000 0.000 3.917
Ir Pd W
2 2 2
Direct
0.076 0.924 0.750 Ir
0.924 0.076 0.250 Ir
0.249 0.751 0.250 Pd
0.751 0.249 0.750 Pd
0.419 0.581 0.750 W
0.581 0.419 0.250 W
```

Properties
The value obtained for the density is 17.5 g cm⁻³. For the total energy, the calculation gives -27.29 eV per formula unit. The value obtained for the magnetization is 0.000 μB per atom.



# 3
# Al2VSeN

An optimized crystal structure of Al2VSeN (PBE, Alexandria).

POSCAR file:
```
Al2VSeN
1.0
4.844 0.000 0.000
0.000 4.844 0.000
0.000 0.000 4.641
Al V Se N
2 1 1 1
Direct
0.000 0.500 0.000 Al
0.500 0.000 0.000 Al
0.000 0.000 0.500 V
0.000 0.000 0.000 Se
0.500 0.500 0.500 N
```

Properties
The value obtained for the density is 3.0 g cm⁻³. The value obtained for the magnetization is 0.516 μB per atom. For the energy relative to the elements, uncorrected, the calculation gives 159.5 kJ per mole of atoms.



# 4
# NdY3Er6Th2

An optimized crystal structure of NdY3Er6Th2 (PBE, Alexandria).

POSCAR file:
```
NdY3Er6Th2
1.0
3.086 -5.340 0.000
3.086 5.340 0.000
-2.062 0.000 11.527
Nd Y Er Th
1 3 6 2
Direct
0.000 0.000 0.000 Nd
0.166 0.834 0.500 Y
0.500 0.500 0.500 Y
0.834 0.166 0.500 Y
0.084 0.422 0.248 Er
0.255 0.255 0.752 Er
0.422 0.084 0.248 Er
0.578 0.916 0.752 Er
0.745 0.745 0.248 Er
0.916 0.578 0.752 Er
0.333 0.667 0.000 Th
0.667 0.333 0.000 Th
```

Properties
The value obtained for the density is 8.2 g cm⁻³. For the total energy, the calculation gives -65.98 eV per formula unit. The value obtained for the magnetization is 0.000 μB per atom.



# 5
# La2NdInC

An optimized crystal structure of La2NdInC (PBE, Alexandria).

POSCAR file:
```
La2NdInC
1.0
5.214 0.000 0.000
0.000 5.214 0.000
0.000 0.000 5.189
La Nd In C
2 1 1 1
Direct
0.000 0.500 0.000 La
0.500 0.000 0.000 La
0.000 0.000 0.500 Nd
0.500 0.500 0.500 In
0.000 0.000 0.000 C
```

Properties
The value obtained for the density is 6.5 g cm⁻³. For the total energy, the calculation gives -28.20 eV per formula unit. The value obtained for the magnetization is 0.000 μB per atom.



# 6
# Er3Tm4Sc2

An optimized crystal structure of Er3Tm4Sc2 (PBE, Alexandria).

POSCAR file:
```
Er3Tm4Sc2
1.0
8.027 -5.604 0.000
8.027 5.604 0.000
-0.704 0.000 5.796
Er Tm Sc
6 8 4
Direct
0.144 0.856 0.750 Er
0.177 0.485 0.921 Er
0.485 0.177 0.421 Er
0.515 0.823 0.579 Er
0.823 0.515 0.079 Er
0.856 0.144 0.250 Er
0.117 0.328 0.392 Tm
0.323 0.548 0.455 Tm
0.328 0.117 0.892 Tm
0.452 0.677 0.045 Tm
0.548 0.323 0.955 Tm
0.672 0.883 0.108 Tm
0.677 0.452 0.545 Tm
0.883 0.672 0.608 Tm
0.014 0.786 0.206 Sc
0.214 0.986 0.294 Sc
0.786 0.014 0.706 Sc
0.986 0.214 0.794 Sc
```

Properties
The value obtained for the density is 8.1 g cm⁻³. For the total energy, the calculation gives -43.25 eV per formula unit. The value obtained for the magnetization is 0.000 μB per atom.



# 7
# Na3Sc3ReO8

An optimized crystal structure of Na3Sc3ReO8 (PBE, Alexandria).

POSCAR file:
```
Na3Sc3ReO8
1.0
3.160 1.824 5.535
-3.160 1.824 5.535
0.000 -3.649 5.535
Na Sc Re O
3 3 1 8
Direct
0.000 0.500 0.500 Na
0.500 0.000 0.500 Na
0.500 0.500 0.000 Na
0.000 0.000 0.500 Sc
0.000 0.500 0.000 Sc
0.500 0.000 0.000 Sc
0.500 0.500 0.500 Re
0.233 0.233 0.233 O
0.243 0.727 0.727 O
0.273 0.273 0.757 O
0.273 0.757 0.273 O
0.727 0.243 0.727 O
0.727 0.727 0.243 O
0.757 0.273 0.273 O
0.767 0.767 0.767 O
```

Properties
The value obtained for the density is 4.5 g cm⁻³. The value obtained for the magnetization is 0.200 μB per atom. For the energy relative to the elements, uncorrected, the calculation gives -242.5 kJ per mole of atoms.



# 8
# PrSm2Pd2

An optimized crystal structure of PrSm2Pd2 (PBE, Alexandria).

POSCAR file:
```
PrSm2Pd2
1.0
8.084 0.000 0.000
0.000 8.084 0.000
0.000 0.000 3.947
Pr Sm Pd
2 4 4
Direct
0.000 0.000 0.000 Pr
0.500 0.500 0.000 Pr
0.166 0.334 0.500 Sm
0.334 0.834 0.500 Sm
0.666 0.166 0.500 Sm
0.834 0.666 0.500 Sm
0.126 0.626 0.000 Pd
0.374 0.126 0.000 Pd
0.626 0.874 0.000 Pd
0.874 0.374 0.000 Pd
```

Properties
The value obtained for the density is 8.4 g cm⁻³. For the total energy, the calculation gives -27.81 eV per formula unit. The value obtained for the magnetization is 0.000 μB per atom.



# 9
# Cs5AgCl4

An optimized crystal structure of Cs5AgCl4 (PBE, Alexandria).

POSCAR file:
```
Cs5AgCl4
1.0
-2.542 2.542 17.991
2.542 -2.542 17.991
2.542 2.542 -17.991
Cs Ag Cl
5 1 4
Direct
0.000 0.000 0.000 Cs
0.201 0.201 0.000 Cs
0.395 0.395 0.000 Cs
0.605 0.605 0.000 Cs
0.799 0.799 0.000 Cs
0.500 0.500 0.000 Ag
0.102 0.102 0.000 Cl
0.298 0.298 0.000 Cl
0.702 0.702 0.000 Cl
0.898 0.898 0.000 Cl
```

Properties
The value obtained for the density is 3.3 g cm⁻³. The value obtained for the magnetization is 0.000 μB per atom. For the energy relative to the elements, uncorrected, the calculation gives -148.9 kJ per mole of atoms.



# 10
# Er3Si13Ir4

An optimized crystal structure of Er3Si13Ir4 (PBE, Alexandria).

POSCAR file:
```
Er3Si13Ir4
1.0
8.740 0.000 0.000
0.000 8.740 0.000
0.000 0.000 8.740
Er Si Ir
6 26 8
Direct
0.000 0.250 0.500 Er
0.000 0.750 0.500 Er
0.250 0.500 0.000 Er
0.500 0.000 0.250 Er
0.500 0.000 0.750 Er
0.750 0.500 0.000 Er
0.000 0.000 0.000 Si
0.000 0.290 0.136 Si
0.000 0.290 0.864 Si
0.000 0.710 0.136 Si
0.000 0.710 0.864 Si
0.136 0.000 0.290 Si
0.136 0.000 0.710 Si
0.210 0.500 0.364 Si
0.210 0.500 0.636 Si
0.290 0.136 0.000 Si
0.290 0.864 0.000 Si
0.364 0.210 0.500 Si
0.364 0.790 0.500 Si
0.500 0.364 0.210 Si
0.500 0.364 0.790 Si
0.500 0.500 0.500 Si
0.500 0.636 0.210 Si
0.500 0.636 0.790 Si
0.636 0.210 0.500 Si
0.636 0.790 0.500 Si
0.710 0.136 0.000 Si
0.710 0.864 0.000 Si
0.790 0.500 0.364 Si
0.790 0.500 0.636 Si
0.864 0.000 0.290 Si
0.864 0.000 0.710 Si
0.250 0.250 0.250 Ir
0.250 0.250 0.750 Ir
0.250 0.750 0.250 Ir
0.250 0.750 0.750 Ir
0.750 0.250 0.250 Ir
0.750 0.250 0.750 Ir
0.750 0.750 0.250 Ir
0.750 0.750 0.750 Ir
```

Properties
The value obtained for the density is 8.1 g cm⁻³. The value obtained for the magnetization is 0.000 μB per atom. For the energy relative to the elements, uncorrected, the calculation gives -57.9 kJ per mole of atoms.



# 11
# LiMgIn

An optimized crystal structure of LiMgIn (PBE, Alexandria).

POSCAR file:
```
LiMgIn
1.0
-1.632 2.159 4.488
1.632 -2.159 4.488
1.632 2.159 -4.488
Li Mg In
1 1 1
Direct
0.000 0.000 0.000 Li
0.669 0.669 0.000 Mg
0.336 0.336 0.000 In
```

Properties
The value obtained for the density is 3.8 g cm⁻³. For the total energy, the calculation gives -6.79 eV per formula unit. The value obtained for the magnetization is 0.000 μB per atom.